The following is a GGA-PBE calculation of crystalline InTcW at its relaxed geometry, from the Open Quantum Materials Database.

Summary:
**Space group**: F-43m
**Total energy**: -8.00 eV/atom

Cell: 4.373 4.373 4.373 Å, 60.00 60.00 60.00°
Element x y z (fractional)
In1 0.000 0.000 0.000
Tc1 0.250 0.250 0.250
W1 0.500 0.500 0.500

***

The following is a GGA-PBE calculation of crystalline Pr2AlSn at its relaxed geometry, from the Open Quantum Materials Database.

Summary:
**Space group**: Amm2
**Total energy**: -4.93 eV/atom

Cell: 4.317 6.318 6.318 Å, 43.39 90.00 90.00°
Element x y z (fractional)
Pr1 0.000 0.000 0.000
Pr2 0.500 0.282 0.282
Al1 0.500 0.561 0.561
Sn1 0.000 0.713 0.713

***

The following is a GGA-PBE calculation of crystalline UTlSb at its relaxed geometry, from the Open Quantum Materials Database.

Summary:
**ΔE to the lowest computed polymorph**: 0.131 eV/atom
**Space group**: F-43m
**Total energy**: -5.45 eV/atom

Cell: 5.156 5.156 5.156 Å, 60.00 60.00 60.00°
Element x y z (fractional)
U1 0.000 0.000 0.000
Tl1 0.500 0.500 0.500
Sb1 0.750 0.750 0.750

***

The following is a GGA-PBE calculation of crystalline Tm4Lu3Co2Te2 at its relaxed geometry, from the Open Quantum Materials Database.

Summary:
**Space group**: Imm2
**Total energy**: -5.34 eV/atom

Cell: 9.178 9.178 9.178 Å, 156.23 66.70 118.71°
Element x y z (fractional)
Tm1 0.136 0.000 0.136
Tm2 0.206 0.854 0.352
Tm3 0.502 0.854 0.648
Tm4 0.864 0.000 0.864
Lu1 0.521 0.206 0.314
Lu2 0.581 0.581 0.000
Lu3 0.892 0.206 0.686
Co1 0.277 0.513 0.764
Co2 0.748 0.513 0.236
Te1 0.244 0.244 0.000
Te2 0.847 0.347 0.500

***

The following is a GGA-PBE calculation of crystalline NbCoMo at its relaxed geometry, from the Open Quantum Materials Database.

Summary:
**ΔE to the lowest computed polymorph**: 0.000 eV/atom
**Space group**: F-43m
**Total energy**: -8.88 eV/atom

Cell: 4.123 4.123 4.123 Å, 60.00 60.00 60.00°
Element x y z (fractional)
Nb1 0.000 0.000 0.000
Co1 0.750 0.750 0.750
Mo1 0.500 0.500 0.500

***

The following is a GGA-PBE calculation of crystalline Pm3MgPt8 at its relaxed geometry, from the Open Quantum Materials Database.

Summary:
**Space group**: R3m
**Total energy**: -6.34 eV/atom

Cell: 9.429 9.429 9.429 Å, 33.57 33.57 33.57°
Element x y z (fractional)
Pm1 0.000 0.000 0.000
Pm2 0.128 0.128 0.128
Pm3 0.512 0.512 0.512
Mg1 0.635 0.635 0.635
Pt1 0.066 0.567 0.567
Pt2 0.068 0.068 0.565
Pt3 0.068 0.565 0.068
Pt4 0.317 0.317 0.317
Pt5 0.565 0.068 0.068
Pt6 0.567 0.066 0.567
Pt7 0.567 0.567 0.066
Pt8 0.817 0.817 0.817

***

The following is a GGA-PBE calculation of crystalline ThSn at its relaxed geometry, from the Open Quantum Materials Database.

Summary:
**Space group**: F-43m
**Total energy**: -5.34 eV/atom

Cell: 5.038 5.038 5.038 Å, 60.00 60.00 60.00°
Element x y z (fractional)
Th1 0.000 0.000 0.000
Sn1 0.250 0.250 0.250

***

The following is a GGA-PBE calculation of crystalline LiReAuSe3 at its relaxed geometry, from the Open Quantum Materials Database.

Summary:
**Space group**: Cmcm
**Total energy**: -4.83 eV/atom

Cell: 7.489 7.489 10.030 Å, 90.00 90.00 154.73°
Element x y z (fractional)
Li1 0.186 0.814 0.750
Li2 0.814 0.186 0.250
Re1 0.500 0.500 0.000
Re2 0.500 0.500 0.500
Au1 0.165 0.835 0.250
Au2 0.835 0.165 0.750
Se1 0.134 0.866 0.010
Se2 0.134 0.866 0.490
Se3 0.460 0.540 0.250
Se4 0.540 0.460 0.750
Se5 0.866 0.134 0.510
Se6 0.866 0.134 0.990

***

The following is a GGA-PBE calculation of crystalline Ho2Lu2B3C4 at its relaxed geometry, from the Open Quantum Materials Database.

Summary:
**ΔE to the lowest computed polymorph**: 0.000 eV/atom
**Space group**: P-1
**Total energy**: -7.34 eV/atom

Cell: 3.453 3.549 11.814 Å, 92.76 96.95 90.11°
Element x y z (fractional)
Ho1 0.196 0.477 0.350
Ho2 0.804 0.523 0.650
Lu1 0.394 0.052 0.859
Lu2 0.606 0.948 0.141
B1 0.000 0.500 0.000
B2 0.247 0.006 0.541
B3 0.753 0.994 0.459
C1 0.100 0.440 0.122
C2 0.311 0.026 0.669
C3 0.689 0.974 0.331
C4 0.900 0.560 0.878

***

The following is a GGA-PBE calculation of crystalline Nd2YTl2Cd4 at its relaxed geometry, from the Open Quantum Materials Database.

Summary:
**Space group**: Amm2
**Total energy**: -3.07 eV/atom

Cell: 4.643 7.639 7.639 Å, 119.35 90.00 90.00°
Element x y z (fractional)
Nd1 0.000 0.211 0.789
Nd2 0.000 0.789 0.211
Y1 0.000 0.636 0.636
Tl1 0.500 0.548 0.876
Tl2 0.500 0.876 0.548
Cd1 0.000 0.220 0.220
Cd2 0.500 0.213 0.453
Cd3 0.500 0.453 0.213
Cd4 0.500 0.976 0.976

***

Q: Which of these has the lowest total energy?
A: NbCoMo